Entry 1:
VASP calculation (PBE) on a relaxed RuBr3 crystal.

Properties
- Formation energy from raw total energies: 1.5 eV/f.u.
- D(E_F): 3.480 states/eV/cell

Unit cell a=3.530 b=3.530 c=9.789 alpha=90.00 beta=90.00 gamma=120.00
Last column: magnetic moment on the atom in μB.
Atoms (fractional coordinates):
1 Ru 0.667 0.333 0.750  2.73
2 Br 0.000 0.000 0.929  0.31
3 Br 0.000 0.000 0.571  0.31
4 Br 0.667 0.333 0.250  -0.31



Entry 2:
VASP calculation (PBE) on a relaxed RuBr5 crystal.

Properties
- Formation energy from raw total energies: 2.6 eV/f.u.
- D(E_F): 5.690 states/eV/cell

Unit cell a=3.094 b=3.094 c=18.606 alpha=90.00 beta=90.00 gamma=90.00
Last column: magnetic moment on the atom in μB.
Atoms (fractional coordinates):
1 Ru 0.500 0.500 0.000  1.77
2 Br 0.000 0.000 0.911  0.14
3 Br 0.000 0.000 0.089  0.14
4 Br 0.500 0.500 0.721  0.01
5 Br 0.500 0.500 0.279  0.01
6 Br 0.000 0.000 0.500  0.00



Entry 3:
VASP calculation (PBE) on a relaxed Ru2Br crystal.

Properties
- Formation energy from raw total energies: 3.7 eV/f.u.
- D(E_F): 4.012 states/eV/cell

Unit cell a=4.119 b=4.119 c=4.119 alpha=60.00 beta=60.00 gamma=60.00
Atoms (fractional coordinates):
1 Ru 0.750 0.750 0.750
2 Ru 0.250 0.250 0.250
3 Br 0.000 0.000 0.000